Below is crystalline CsOsNO2 at its relaxed geometry, with properties calculated at the PBE level.

Unit cell a=4.1271 b=4.1271 c=3.9175 alpha=90.00 beta=90.00 gamma=90.00
Space group P4/mmm (No. 123)
Symmetry-distinct sites (fractional):
1 Cs 0.0000 0.0000 0.0000
2 Os 0.5000 0.5000 0.5000
3 N 0.5000 0.5000 0.0000
4 O 0.0000 0.5000 0.5000

Calculated values
The total energy is -32.056 eV per cell. The calculation puts the uncorrected formation energy at -0.35 eV/atom.


Below is crystalline CsPNO2 at its relaxed geometry, with properties calculated at the PBE level.

Unit cell a=4.3452 b=4.3452 c=4.6091 alpha=90.00 beta=90.00 gamma=90.00
Space group P4/mmm (No. 123)
Symmetry-distinct sites (fractional):
1 Cs 0.0000 0.0000 0.0000
2 P 0.5000 0.5000 0.5000
3 N 0.0000 0.0000 0.5000
4 O 0.0000 0.5000 0.0000

Calculated values
The total energy is -14.191 eV per cell. The calculation puts the uncorrected formation energy at 2.06 eV/atom.


Below is crystalline CsPNO2 at its relaxed geometry, with properties calculated at the PBE level.

Unit cell a=4.2261 b=4.2261 c=7.8886 alpha=90.00 beta=90.00 gamma=90.00
Space group P4/mmm (No. 123)
Symmetry-distinct sites (fractional):
1 Cs 0.0000 0.0000 0.0000
2 P 0.0000 0.0000 0.5000
3 N 0.5000 0.5000 0.5000
4 O 0.0000 0.5000 0.0000

Calculated values
The total energy is -14.372 eV per cell. The calculation puts the uncorrected formation energy at 2.03 eV/atom.


Below is crystalline CsPaNO at its relaxed geometry, with properties calculated at the PBE level.

Unit cell a=3.6618 b=3.6618 c=21.2214 alpha=90.00 beta=90.00 gamma=120.00
Space group R3m (No. 160, hexagonal axes)
Symmetry-distinct sites (fractional):
1 Cs 0.0000 0.0000 0.0000
2 Pa 0.0000 0.0000 0.5018
3 N 0.0000 0.0000 0.2120
4 O 0.0000 0.0000 0.7849

Calculated values
The total energy is -91.781 eV per cell. The calculation puts the uncorrected formation energy at -1.74 eV/atom.


Below is crystalline CsPdNO2 at its relaxed geometry, with properties calculated at the PBE level.

Unit cell a=4.4456 b=4.4456 c=4.7831 alpha=90.00 beta=90.00 gamma=90.00
Space group P4/mmm (No. 123)
Symmetry-distinct sites (fractional):
1 Cs 0.0000 0.0000 0.0000
2 Pd 0.5000 0.5000 0.5000
3 N 0.0000 0.0000 0.5000
4 O 0.0000 0.5000 0.0000

Calculated values
The total energy is -14.994 eV per cell. The calculation puts the uncorrected formation energy at 1.86 eV/atom.


Below is crystalline CsPtN2O at its relaxed geometry, with properties calculated at the PBE level.

Unit cell a=3.7763 b=3.7763 c=7.3160 alpha=90.00 beta=90.00 gamma=90.00
Space group P4/mmm (No. 123)
Symmetry-distinct sites (fractional):
1 Cs 0.0000 0.0000 0.0000
2 Pt 0.5000 0.5000 0.5000
3 N 0.0000 0.5000 0.5000
4 O 0.5000 0.5000 0.0000

Calculated values
The total energy is -24.365 eV per cell. The calculation puts the uncorrected formation energy at 0.83 eV/atom.


Below is crystalline CsPtN2O at its relaxed geometry, with properties calculated at the PBE level.

Unit cell a=4.5065 b=4.5065 c=4.1291 alpha=90.00 beta=90.00 gamma=90.00
Space group P4/mmm (No. 123)
Symmetry-distinct sites (fractional):
1 Cs 0.0000 0.0000 0.0000
2 Pt 0.5000 0.5000 0.5000
3 N 0.0000 0.5000 0.0000
4 O 0.0000 0.0000 0.5000

Calculated values
The total energy is -13.967 eV per cell. The calculation puts the uncorrected formation energy at 2.91 eV/atom.


Below is crystalline CsRbN2O at its relaxed geometry, with properties calculated at the PBE level.

Unit cell a=5.0588 b=5.0588 c=4.6700 alpha=90.00 beta=90.00 gamma=90.00
Space group P4/mmm (No. 123)
Symmetry-distinct sites (fractional):
1 Cs 0.0000 0.0000 0.0000
2 Rb 0.5000 0.5000 0.5000
3 N 0.0000 0.5000 0.0000
4 O 0.0000 0.0000 0.5000

Calculated values
The total energy is -15.631 eV per cell. The calculation puts the uncorrected formation energy at 1.56 eV/atom.